NaScSi: relaxed, PBE.

Geometry as POSCAR:
```
NaScSi
1.0
6.7397 0.0000 0.0000
0.0000 4.2739 0.0000
0.0000 0.0000 8.7257
Sc Na Si
4 4 4
Direct
0.0586 0.7500 0.1684 Sc
0.5586 0.7500 0.3316 Sc
0.9414 0.2500 0.8316 Sc
0.4414 0.2500 0.6684 Sc
0.8659 0.2500 0.4570 Na
0.6341 0.7500 0.9570 Na
0.3659 0.2500 0.0430 Na
0.1341 0.7500 0.5430 Na
0.2005 0.7500 0.8596 Si
0.7005 0.7500 0.6404 Si
0.7995 0.2500 0.1404 Si
0.2995 0.2500 0.3597 Si
```

Values from the calculation:
SG = Pnma (62)
M_tot = 0.0000 μB/atom
E_form (uncorrected) = -0.18 eV/atom